ThPa5Se6: optimized geometry, PBE.

CIF file:
```
data_ThPa5Se6
_symmetry_space_group_name_H-M 'C 1 2/m 1'
_symmetry_Int_Tables_number 12
_cell_length_a 6.778
_cell_length_b 12.178
_cell_length_c 7.441
_cell_angle_alpha 90.00
_cell_angle_beta 109.04
_cell_angle_gamma 90.00
loop_
_symmetry_equiv_pos_as_xyz
'x,y,z'
'-x,-y,-z'
'-x,y,-z'
'x,-y,z'
'x+1/2,y+1/2,z'
'-x+1/2,-y+1/2,-z'
'-x+1/2,y+1/2,-z'
'x+1/2,-y+1/2,z'
loop_
_atom_site_label
_atom_site_fract_x
_atom_site_fract_y
_atom_site_fract_z
_atom_site_occupancy
Th1 0.000 0.000 0.000 1
Pa1 0.000 0.162 0.500 1
Pa2 0.000 0.332 0.000 1
Pa3 0.000 0.500 0.500 1
Se1 0.243 0.500 0.249 1
Se2 0.245 0.331 0.745 1
```

Magnetic moment: 0.208 μB per atom
ΔE_f (raw): -1.254 eV/atom
Calculated volume: 580.6 Å³ per cell